Model P:
A plane-wave DFT calculation with PBE was carried out for a relaxed structure of AgOsSO.

The structure belongs to space group Pmc2_1 (No. 26); the cell edges are 2.983, 7.568 and 5.767 Å and the angles 90.00°, 90.00° and 90.00°. The distinct sites, in fractional coordinates, are Ag at (0.000, 0.169, 0.000), Os at (0.500, 0.339, 0.369), S at (0.000, 0.165, 0.563) and O at (0.500, 0.453, 0.068).

Model Q:
A plane-wave DFT calculation with PBE was carried out for a relaxed structure of AgOsSO.

The structure belongs to space group P2_1/c (No. 14); the cell edges are 6.587, 5.820 and 6.313 Å and the angles 90.00°, 95.61° and 90.00°. The distinct sites, in fractional coordinates, are Ag at (0.055, 0.230, 0.060), Os at (0.491, 0.625, 0.259), S at (0.293, 0.621, 0.936) and O at (0.356, 0.128, 0.918).

Model R:
A plane-wave DFT calculation with PBE was carried out for a relaxed structure of AgOsSO.

The structure belongs to space group P4/nmm (No. 129, origin choice 2); the cell edges are 3.592, 3.592 and 8.842 Å and the angles 90.00°, 90.00° and 90.00°. The distinct sites, in fractional coordinates, are Ag at (0.250, 0.750, 0.000), Os at (0.250, 0.250, 0.362), S at (0.250, 0.250, 0.756) and O at (0.250, 0.750, 0.500).

Relative calculated energies, zero for the most stable structure, unit meV/atom: model P 100; model Q 0; model R 617.

Model P:
A plane-wave DFT calculation with PBE was carried out for a relaxed structure of AgOsSO.

The structure belongs to space group Pca2_1 (No. 29); the cell edges are 6.242, 7.448 and 5.274 Å and the angles 90.00°, 90.00° and 90.00°. The distinct sites, in fractional coordinates, are Ag at (0.174, 0.135, 0.000), Os at (0.195, 0.655, 0.333), S at (0.048, 0.386, 0.481) and O at (0.197, 0.851, 0.599).

Model Q:
A plane-wave DFT calculation with PBE was carried out for a relaxed structure of AgOsSO.

The structure belongs to space group P2_1 (No. 4); the cell edges are 5.141, 4.889 and 10.227 Å and the angles 90.00°, 91.60° and 90.00°. The distinct sites, in fractional coordinates, are Ag at (0.197, 0.000, 0.153), Ag at (0.274, 0.500, 0.016), Os at (0.089, 0.178, 0.622), Os at (0.406, 0.800, 0.632), S at (0.238, 0.499, 0.261), S at (0.299, 0.465, 0.779), O at (0.109, 0.565, 0.542) and O at (0.384, 0.091, 0.489).

Relative calculated energies, zero for the most stable structure, unit meV/atom: model P 70; model Q 0.

Model P:
A plane-wave DFT calculation with PBE was carried out for a relaxed structure of AgTeOsO.

The structure belongs to space group Pmc2_1 (No. 26); the cell edges are 3.834, 6.975 and 5.621 Å and the angles 90.00°, 90.00° and 90.00°. The distinct sites, in fractional coordinates, are Ag at (0.000, 0.079, 0.000), Te at (0.000, 0.312, 0.522), Os at (0.500, 0.496, 0.275) and O at (0.500, 0.291, 0.022).

Model Q:
A plane-wave DFT calculation with PBE was carried out for a relaxed structure of AgTeOsO.

The structure belongs to space group P4/nmm (No. 129, origin choice 2); the cell edges are 3.630, 3.630 and 10.337 Å and the angles 90.00°, 90.00° and 90.00°. The distinct sites, in fractional coordinates, are Ag at (0.250, 0.750, 0.000), Te at (0.250, 0.250, 0.254), Os at (0.250, 0.250, 0.621) and O at (0.250, 0.750, 0.500).

Relative calculated energies, zero for the most stable structure, unit meV/atom: model P 0; model Q 394.

Model P:
A plane-wave DFT calculation with PBE was carried out for a relaxed structure of AgPO4.

The structure belongs to space group I-4 (No. 82); the cell edges are 5.840, 5.840 and 4.372 Å and the angles 90.00°, 90.00° and 90.00°. The distinct sites, in fractional coordinates, are Ag at (0.000, 0.000, 0.000), P at (0.000, 0.500, 0.250) and O at (0.126, 0.677, 0.046).

Model Q:
A plane-wave DFT calculation with PBE was carried out for a relaxed structure of AgPO4.

The structure belongs to space group P2_1/m (No. 11); the cell edges are 4.723, 6.506 and 4.737 Å and the angles 90.00°, 92.66° and 90.00°. The distinct sites, in fractional coordinates, are Ag at (0.095, 0.250, 0.405), P at (0.339, 0.750, 0.162), O at (0.195, 0.567, 0.308), O at (0.297, 0.750, 0.839) and O at (0.336, 0.250, 0.797).

Relative calculated energies, zero for the most stable structure, unit meV/atom: model P 0; model Q 78.

Model P:
A plane-wave DFT calculation with PBE was carried out for a relaxed structure of Ag2P2O7.

The structure belongs to space group Fd-3m (No. 227, origin choice 2); the cell edges are 9.349, 9.349 and 9.349 Å and the angles 90.00°, 90.00° and 90.00°. The distinct sites, in fractional coordinates, are Ag at (0.000, 0.000, 0.000), P at (0.000, 0.000, 0.500), O at (0.064, 0.375, 0.875) and O at (0.125, 0.125, 0.125).

Model Q:
A plane-wave DFT calculation with PBE was carried out for a relaxed structure of Ag2P2O7.

The structure belongs to space group C2/m (No. 12); the cell edges are 7.230, 8.991 and 4.567 Å and the angles 90.00°, 108.17° and 90.00°. The distinct sites, in fractional coordinates, are Ag at (0.000, 0.196, 0.000), P at (0.198, 0.500, 0.419), O at (0.000, 0.500, 0.500), O at (0.135, 0.000, 0.266) and O at (0.210, 0.357, 0.248).

Relative calculated energies, zero for the most stable structure, unit meV/atom: model P 454; model Q 0.

Model P:
A plane-wave DFT calculation with PBE was carried out for a relaxed structure of AgPPtO.

The structure belongs to space group Pmc2_1 (No. 26); the cell edges are 3.909, 6.039 and 5.817 Å and the angles 90.00°, 90.00° and 90.00°. The distinct sites, in fractional coordinates, are Ag at (0.000, 0.157, 0.000), P at (0.500, 0.341, 0.844), Pt at (0.500, 0.294, 0.452) and O at (0.000, 0.219, 0.405).

Model Q:
A plane-wave DFT calculation with PBE was carried out for a relaxed structure of AgPPtO.

The structure belongs to space group Pmc2_1 (No. 26); the cell edges are 3.244, 7.182 and 5.740 Å and the angles 90.00°, 90.00° and 90.00°. The distinct sites, in fractional coordinates, are Ag at (0.000, 0.194, 0.000), P at (0.000, 0.139, 0.426), Pt at (0.500, 0.314, 0.591) and O at (0.500, 0.429, 0.922).

Relative calculated energies, zero for the most stable structure, unit meV/atom: model P 25; model Q 0.

Model P:
A plane-wave DFT calculation with PBE was carried out for a relaxed structure of AgPPtO.

The structure belongs to space group P4/nmm (No. 129, origin choice 2); the cell edges are 4.237, 4.237 and 7.501 Å and the angles 90.00°, 90.00° and 90.00°. The distinct sites, in fractional coordinates, are Ag at (0.250, 0.250, 0.059), P at (0.250, 0.250, 0.651), Pt at (0.250, 0.750, 0.500) and O at (0.250, 0.750, 0.000).

Model Q:
A plane-wave DFT calculation with PBE was carried out for a relaxed structure of AgPPtO.

The structure belongs to space group P4/nmm (No. 129, origin choice 2); the cell edges are 3.859, 3.859 and 7.244 Å and the angles 90.00°, 90.00° and 90.00°. The distinct sites, in fractional coordinates, are Ag at (0.250, 0.750, 0.000), P at (0.250, 0.250, 0.281), Pt at (0.250, 0.250, 0.699) and O at (0.250, 0.750, 0.500).

Relative calculated energies, zero for the most stable structure, unit meV/atom: model P 0; model Q 422.

Model P:
A plane-wave DFT calculation with PBE was carried out for a relaxed structure of RbAgPO.

The structure belongs to space group P4/nmm (No. 129, origin choice 2); the cell edges are 4.391, 4.391 and 8.751 Å and the angles 90.00°, 90.00° and 90.00°. The distinct sites, in fractional coordinates, are Rb at (0.250, 0.750, 0.000), Ag at (0.250, 0.250, 0.284), P at (0.250, 0.250, 0.567) and O at (0.250, 0.750, 0.500).

Model Q:
A plane-wave DFT calculation with PBE was carried out for a relaxed structure of RbAgPO.

The structure belongs to space group Pmc2_1 (No. 26); the cell edges are 3.703, 7.173 and 7.468 Å and the angles 90.00°, 90.00° and 90.00°. The distinct sites, in fractional coordinates, are Rb at (0.000, 0.177, 0.000), Ag at (0.500, 0.304, 0.415), P at (0.500, 0.446, 0.700) and O at (0.000, 0.179, 0.380).

Relative calculated energies, zero for the most stable structure, unit meV/atom: model P 445; model Q 0.

Model P:
A plane-wave DFT calculation with PBE was carried out for a relaxed structure of ScAgPO.

The structure belongs to space group P4/nmm (No. 129, origin choice 2); the cell edges are 5.236, 5.236 and 4.614 Å and the angles 90.00°, 90.00° and 90.00°. The distinct sites, in fractional coordinates, are Sc at (0.250, 0.750, 0.000), Ag at (0.250, 0.250, 0.498), P at (0.250, 0.250, 0.998) and O at (0.250, 0.750, 0.500).

Model Q:
A plane-wave DFT calculation with PBE was carried out for a relaxed structure of ScAgPO.

The structure belongs to space group P4/nmm (No. 129, origin choice 2); the cell edges are 3.796, 3.796 and 8.756 Å and the angles 90.00°, 90.00° and 90.00°. The distinct sites, in fractional coordinates, are Sc at (0.250, 0.250, 0.109), Ag at (0.250, 0.750, 0.500), P at (0.250, 0.250, 0.704) and O at (0.250, 0.750, 0.000).

Relative calculated energies, zero for the most stable structure, unit meV/atom: model P 422; model Q 0.

Model P:
A plane-wave DFT calculation with PBE was carried out for a relaxed structure of ScAgPO.

The structure belongs to space group Pmc2_1 (No. 26); the cell edges are 3.466, 7.457 and 5.658 Å and the angles 90.00°, 90.00° and 90.00°. The distinct sites, in fractional coordinates, are Sc at (0.000, 0.179, 0.000), Ag at (0.500, 0.400, 0.494), P at (0.000, 0.171, 0.500) and O at (0.500, 0.300, 0.998).

Model Q:
A plane-wave DFT calculation with PBE was carried out for a relaxed structure of ScAgPO.

The structure belongs to space group Pmc2_1 (No. 26); the cell edges are 4.447, 6.809 and 4.948 Å and the angles 90.00°, 90.00° and 90.00°. The distinct sites, in fractional coordinates, are Sc at (0.000, 0.167, 0.000), Ag at (0.500, 0.276, 0.439), P at (0.500, 0.359, 0.932) and O at (0.000, 0.110, 0.389).

Relative calculated energies, zero for the most stable structure, unit meV/atom: model P 5; model Q 0.